VASP calculation (PBE) on a relaxed Ta2NbRe4 crystal.

Cell lengths 5.845, 5.845, 5.845 Å; angles 79.49, 126.24, 126.24 degrees
Sites, in units of the cell vectors:
1 Re 0.000 0.000 0.500
2 Ta 0.500 0.000 0.500
3 Ta 0.500 0.500 0.000
4 Re 0.500 0.500 0.500
5 Re 0.000 0.500 0.000
6 Nb 0.000 0.000 0.000
7 Re 0.500 0.000 0.000

Properties
Crystal system: tetragonal
D(E_F): 1.055 states/eV/atom
Total moment: 0.0 μB per cell
Calculated formation energy: 0.49 eV per atom